A plane-wave DFT calculation with meta-GGA SCAN was carried out for BaIn5 at its PBEsol-relaxed geometry.

POSCAR file:
```
BaIn5
1.0
4.959 0.000 0.000
0.000 4.820 0.000
0.000 -2.410 7.075
Ba In
1 5
Cartesian
0.000 0.000 0.300
2.480 0.000 2.832
0.000 0.000 4.817
2.480 2.410 0.724
2.480 2.410 4.937
0.000 2.410 2.899
```

The density of states at the Fermi level comes out at 2.388 states/eV/f.u. Its formation enthalpy at 0 K is -149.5 kJ/mol of formula units.